Material: BaLiRe2
Method: DFT, PBE
State: optimized geometry

Calculated values
The value obtained for the total energy is -24.51 eV per cell. As for the formation energy: 1055 meV per atom.

Lattice parameters (Å, degrees): 3.367 3.367 7.317 90.00 90.00 90.00
Space group P4/mmm (No. 123)
Symmetry-distinct sites (fractional):
Ba 0.000 0.000 0.000 (multiplicity 1)
Li 0.000 0.000 0.500 (multiplicity 1)
Re 0.500 0.500 0.347 (multiplicity 2)